Below is HfSe3O9 after structural relaxation, with properties calculated at the PBE-GGA level.

Cell and atoms, written as extended XYZ:
```
26
Lattice="7.0402 -3.4654 0.0000 7.0402 3.4654 0.0000 -5.0346 0.0000 8.8303" Properties=species:S:1:pos:R:3 pbc="T T T"
Hf 4.5229 2.0737 4.4152
Hf 7.0402 -2.0737 0.0000
Se 2.2286 0.0277 2.6285
Se -0.2886 -0.0277 7.0437
Se 7.1763 0.1403 2.7454
Se 4.6591 -0.1403 7.1606
Se 10.9206 0.7407 1.8125
Se 8.4033 -0.7407 6.2277
O 1.8828 3.0658 7.8243
O 2.9083 2.6417 5.5141
O 1.4516 0.5399 1.1990
O 3.1785 1.4039 2.9572
O 1.1538 0.8899 6.3330
O -1.0657 -0.5399 5.6141
O 5.9363 1.2381 3.1265
O 3.6711 -0.8899 1.9178
O 4.6175 1.1917 8.1140
O 4.4488 0.2729 5.5190
O 0.6612 -1.4039 7.3724
O 6.9661 -0.2729 1.1038
O 8.5807 1.0092 2.8651
O 3.4190 -1.2381 7.5416
O 5.4256 -2.6417 1.0989
O 7.1348 -1.1917 3.6989
O 6.0635 -1.0092 7.2803
O 4.4001 -3.0658 3.4091
```

Values from the calculation:
Size of the total moment in μB/cell: 0.00
Density in g cm⁻³: 4.312
Calculated total energy in eV per atom: -6.32
SG: Cc (9)